Entry 1:
Computed, not measured: a relaxed structure of BaLi2I4 at the PBE-GGA level of DFT.

abc: 8.925 9.050 9.050
angles: 75.93 60.45 60.46
Element x y z (fractional)
Ba  0.750  0.500  0.500
Ba  0.000  0.000  0.000
Li  0.449  0.676  0.176
Li  0.301  0.324  0.824
Li  0.875  0.824  0.676
Li  0.375  0.176  0.324
I  0.130  0.266  0.664
I  0.690  0.164  0.766
I  0.060  0.734  0.336
I  0.604  0.336  0.266
I  0.207  0.664  0.734
I  0.620  0.836  0.234
I  0.146  0.234  0.164
I  0.543  0.766  0.836

E_tot	-43.92	eV for the cell shown
space group	No. 122
V	39.52	Å³ per atom

---

Entry 2:
Computed, not measured: a relaxed structure of Ba2LiI at the PBE-GGA level of DFT.

abc: 4.679 4.679 10.280
angles: 76.85 76.85 60.00
Each line ends with the local moment (μB).
Element x y z (fractional)
Ba  0.079  0.079  0.762  0.08
Ba  0.254  0.254  0.237  -0.07
Li  0.667  0.667  0.999  0.00
I  0.499  0.499  0.502  0.00

E_tot	-9.54	eV for the cell shown
space group	No. 160
V	47.02	Å³ per atom

---

Entry 3:
Computed, not measured: a relaxed structure of BaLiI2 at the PBE-GGA level of DFT.

abc: 5.958 5.958 5.958
angles: 60.00 60.00 60.00
Each line ends with the local moment (μB).
Element x y z (fractional)
I  0.250  0.250  0.250  0.02
I  0.750  0.750  0.750  0.02
Ba  0.500  0.500  0.500  0.12
Li  0.000  0.000  0.000  0.08

E_tot	-11.13	eV for the cell shown
space group	No. 225
V	37.39	Å³ per atom

---

Entry 4:
Computed, not measured: a relaxed structure of Ba6LiI12 at the PBE-GGA level of DFT.

abc: 9.865 9.865 9.865
angles: 99.61 99.61 99.61
Element x y z (fractional)
Ba  0.709  0.871  0.368
Ba  0.632  0.291  0.129
Ba  0.129  0.632  0.291
Ba  0.291  0.129  0.632
Ba  0.368  0.709  0.871
Ba  0.871  0.368  0.709
Li  0.000  0.000  0.000
I  0.821  0.565  0.423
I  0.423  0.821  0.565
I  0.565  0.423  0.821
I  0.179  0.435  0.577
I  0.577  0.179  0.435
I  0.435  0.577  0.179
I  0.066  0.972  0.308
I  0.028  0.692  0.934
I  0.692  0.934  0.028
I  0.934  0.028  0.692
I  0.972  0.308  0.066
I  0.308  0.066  0.972

E_tot	-63.26	eV for the cell shown
space group	No. 148
V	48.12	Å³ per atom

---

Entry 5:
Computed, not measured: a relaxed structure of Ba2LiI2 at the PBE-GGA level of DFT.

abc: 9.656 9.656 4.384
angles: 90.00 90.00 90.00
Element x y z (fractional)
I  0.364  0.864  0.000
I  0.864  0.636  0.000
I  0.636  0.136  0.000
I  0.136  0.364  0.000
Ba  0.164  0.664  0.500
Ba  0.664  0.836  0.500
Ba  0.836  0.336  0.500
Ba  0.336  0.164  0.500
Li  0.000  0.000  0.000
Li  0.500  0.500  0.000

E_tot	-26.87	eV for the cell shown
space group	No. 127
V	40.88	Å³ per atom

---

Entry 6:
Computed, not measured: a relaxed structure of Ba12Li5I3 at the PBE-GGA level of DFT.

abc: 17.727 17.727 17.727
angles: 109.47 109.47 109.47
Element x y z (fractional)
I  0.750  0.375  0.125
I  0.875  0.750  0.125
I  0.375  0.750  0.625
I  0.250  0.125  0.375
I  0.875  0.125  0.250
I  0.375  0.625  0.250
I  0.625  0.375  0.750
I  0.125  0.875  0.750
I  0.750  0.875  0.625
I  0.625  0.250  0.375
I  0.125  0.250  0.875
I  0.250  0.625  0.875
Li  0.125  0.375  0.250
Li  0.000  0.500  0.000
Li  0.000  0.000  0.000
Li  0.375  0.250  0.125
Li  0.500  0.000  0.500
Li  0.500  0.500  0.000
Li  0.125  0.750  0.375
Li  0.750  0.125  0.875
Li  0.750  0.625  0.375
Li  0.375  0.125  0.750
Li  0.625  0.875  0.250
Li  0.500  0.500  0.500
Li  0.500  0.000  0.000
Li  0.000  0.000  0.500
Li  0.250  0.375  0.625
Li  0.250  0.875  0.125
Li  0.000  0.500  0.500
Li  0.875  0.250  0.625
Li  0.625  0.750  0.875
Li  0.875  0.625  0.750
Ba  0.717  0.123  0.043
Ba  0.327  0.543  0.420
Ba  0.957  0.377  0.283
Ba  0.543  0.217  0.123
Ba  0.593  0.717  0.673
Ba  0.957  0.580  0.173
Ba  0.327  0.783  0.407
Ba  0.080  0.907  0.123
Ba  0.580  0.957  0.673
Ba  0.717  0.593  0.173
Ba  0.783  0.457  0.377
Ba  0.827  0.920  0.043
Ba  0.123  0.717  0.543
Ba  0.377  0.420  0.093
Ba  0.093  0.920  0.377
Ba  0.407  0.123  0.580
Ba  0.093  0.173  0.217
Ba  0.457  0.673  0.080
Ba  0.827  0.907  0.283
Ba  0.123  0.407  0.080
Ba  0.377  0.957  0.783
Ba  0.580  0.623  0.407
Ba  0.920  0.827  0.543
Ba  0.783  0.327  0.907
Ba  0.420  0.377  0.593
Ba  0.080  0.173  0.457
Ba  0.217  0.673  0.093
Ba  0.173  0.093  0.717
Ba  0.623  0.043  0.217
Ba  0.877  0.593  0.920
Ba  0.543  0.327  0.920
Ba  0.593  0.877  0.420
Ba  0.907  0.827  0.783
Ba  0.907  0.080  0.623
Ba  0.877  0.283  0.457
Ba  0.173  0.080  0.957
Ba  0.623  0.580  0.907
Ba  0.420  0.043  0.327
Ba  0.283  0.407  0.827
Ba  0.217  0.543  0.623
Ba  0.920  0.093  0.877
Ba  0.673  0.217  0.593
Ba  0.457  0.783  0.877
Ba  0.043  0.420  0.827
Ba  0.407  0.283  0.327
Ba  0.043  0.623  0.717
Ba  0.673  0.457  0.580
Ba  0.283  0.877  0.957

E_tot	-153.72	eV for the cell shown
space group	No. 230
V	53.60	Å³ per atom

---

Entry 7:
Computed, not measured: a relaxed structure of Ba2Li2I at the PBE-GGA level of DFT.

abc: 4.928 4.928 10.218
angles: 89.99 103.98 119.97
Element x y z (fractional)
Ba  0.831  0.415  0.245
Ba  0.169  0.585  0.755
Li  0.334  0.167  0.502
Li  0.666  0.833  0.498
I  0.000  0.000  0.000

E_tot	-11.73	eV for the cell shown
space group	No. 166
V	41.28	Å³ per atom

---

Entry 8:
Computed, not measured: a relaxed structure of Ba2LiI at the PBE-GGA level of DFT.

abc: 4.295 4.295 12.982
angles: 80.48 80.48 60.00
Each line ends with the local moment (μB).
Element x y z (fractional)
I  0.500  0.500  0.500  0.01
Ba  0.098  0.098  0.706  0.07
Ba  0.902  0.902  0.294  0.07
Li  0.000  0.000  0.000  0.00

E_tot	-8.85	eV for the cell shown
space group	No. 166
V	50.90	Å³ per atom

---

Entry 9:
Computed, not measured: a relaxed structure of Ba2LiI2 at the PBE-GGA level of DFT.

abc: 5.651 5.651 9.394
angles: 72.49 72.49 90.00
Element x y z (fractional)
I  0.750  0.250  0.500
I  0.250  0.750  0.500
Ba  0.372  0.372  0.256
Ba  0.628  0.628  0.744
Li  0.000  0.000  0.000

E_tot	-13.17	eV for the cell shown
space group	No. 139
V	54.30	Å³ per atom

---

Entry 10:
Computed, not measured: a relaxed structure of Ba2LiI2 at the PBE-GGA level of DFT.

abc: 6.662 6.662 7.411
angles: 63.29 63.29 90.00
Element x y z (fractional)
I  0.331  0.331  0.339
I  0.669  0.669  0.661
Ba  0.750  0.250  0.500
Ba  0.250  0.750  0.500
Li  0.000  0.000  0.000

E_tot	-12.79	eV for the cell shown
space group	No. 139
V	50.78	Å³ per atom

---

Entry 11:
Computed, not measured: a relaxed structure of Ba2LiI at the PBE-GGA level of DFT.

abc: 4.284 4.284 9.298
angles: 90.00 90.00 90.00
Element x y z (fractional)
I  0.500  0.500  0.500
Ba  0.000  0.000  0.762
Ba  0.000  0.000  0.238
Li  0.500  0.500  0.000

E_tot	-9.57	eV for the cell shown
space group	No. 123
V	42.66	Å³ per atom

---

Entry 12:
Computed, not measured: a relaxed structure of Ba2LiI at the PBE-GGA level of DFT.

abc: 6.229 6.229 6.229
angles: 60.00 60.00 60.00
Each line ends with the local moment (μB).
Element x y z (fractional)
I  0.500  0.500  0.500  0.02
Ba  0.250  0.250  0.250  0.15
Ba  0.750  0.750  0.750  0.15
Li  0.000  0.000  0.000  0.03

E_tot	-9.08	eV for the cell shown
space group	No. 225
V	42.72	Å³ per atom

---

Please write out number 12 again, unchanged.
Computed, not measured: a relaxed structure of Ba2LiI at the PBE-GGA level of DFT.

abc: 6.229 6.229 6.229
angles: 60.00 60.00 60.00
Each line ends with the local moment (μB).
Element x y z (fractional)
I  0.500  0.500  0.500  0.02
Ba  0.250  0.250  0.250  0.15
Ba  0.750  0.750  0.750  0.15
Li  0.000  0.000  0.000  0.03

E_tot	-9.08	eV for the cell shown
space group	No. 225
V	42.72	Å³ per atom

---

What did the sixth record say?
Computed, not measured: a relaxed structure of Ba12Li5I3 at the PBE-GGA level of DFT.

abc: 17.727 17.727 17.727
angles: 109.47 109.47 109.47
Element x y z (fractional)
I  0.750  0.375  0.125
I  0.875  0.750  0.125
I  0.375  0.750  0.625
I  0.250  0.125  0.375
I  0.875  0.125  0.250
I  0.375  0.625  0.250
I  0.625  0.375  0.750
I  0.125  0.875  0.750
I  0.750  0.875  0.625
I  0.625  0.250  0.375
I  0.125  0.250  0.875
I  0.250  0.625  0.875
Li  0.125  0.375  0.250
Li  0.000  0.500  0.000
Li  0.000  0.000  0.000
Li  0.375  0.250  0.125
Li  0.500  0.000  0.500
Li  0.500  0.500  0.000
Li  0.125  0.750  0.375
Li  0.750  0.125  0.875
Li  0.750  0.625  0.375
Li  0.375  0.125  0.750
Li  0.625  0.875  0.250
Li  0.500  0.500  0.500
Li  0.500  0.000  0.000
Li  0.000  0.000  0.500
Li  0.250  0.375  0.625
Li  0.250  0.875  0.125
Li  0.000  0.500  0.500
Li  0.875  0.250  0.625
Li  0.625  0.750  0.875
Li  0.875  0.625  0.750
Ba  0.717  0.123  0.043
Ba  0.327  0.543  0.420
Ba  0.957  0.377  0.283
Ba  0.543  0.217  0.123
Ba  0.593  0.717  0.673
Ba  0.957  0.580  0.173
Ba  0.327  0.783  0.407
Ba  0.080  0.907  0.123
Ba  0.580  0.957  0.673
Ba  0.717  0.593  0.173
Ba  0.783  0.457  0.377
Ba  0.827  0.920  0.043
Ba  0.123  0.717  0.543
Ba  0.377  0.420  0.093
Ba  0.093  0.920  0.377
Ba  0.407  0.123  0.580
Ba  0.093  0.173  0.217
Ba  0.457  0.673  0.080
Ba  0.827  0.907  0.283
Ba  0.123  0.407  0.080
Ba  0.377  0.957  0.783
Ba  0.580  0.623  0.407
Ba  0.920  0.827  0.543
Ba  0.783  0.327  0.907
Ba  0.420  0.377  0.593
Ba  0.080  0.173  0.457
Ba  0.217  0.673  0.093
Ba  0.173  0.093  0.717
Ba  0.623  0.043  0.217
Ba  0.877  0.593  0.920
Ba  0.543  0.327  0.920
Ba  0.593  0.877  0.420
Ba  0.907  0.827  0.783
Ba  0.907  0.080  0.623
Ba  0.877  0.283  0.457
Ba  0.173  0.080  0.957
Ba  0.623  0.580  0.907
Ba  0.420  0.043  0.327
Ba  0.283  0.407  0.827
Ba  0.217  0.543  0.623
Ba  0.920  0.093  0.877
Ba  0.673  0.217  0.593
Ba  0.457  0.783  0.877
Ba  0.043  0.420  0.827
Ba  0.407  0.283  0.327
Ba  0.043  0.623  0.717
Ba  0.673  0.457  0.580
Ba  0.283  0.877  0.957

E_tot	-153.72	eV for the cell shown
space group	No. 230
V	53.60	Å³ per atom

---

> Look up the E_tot of the sixth one.

-153.72 eV for the cell shown

---

> Look up the E_tot of the fifth one.

-26.87 eV for the cell shown